No. 1
YCdIn2 | Alexandria | PBE | optimized geometry; DFT total energy = -13.3 eV/cell; calculated volume = 105.87 Å³/f.u.; mass density = 6.8 g/cm³
1.0
1.723 0.995 10.289
-1.723 0.995 10.289
0.000 -1.990 10.289
Y Cd In
1 1 2
direct
0.000 0.000 0.000
0.500 0.500 0.500
0.247 0.247 0.247
0.753 0.753 0.753

***

No. 2
YCdIn2 | Alexandria | PBE | optimized geometry; DFT total energy = -13.7 eV/cell; calculated volume = 102.66 Å³/f.u.; mass density = 7.0 g/cm³
1.0
2.526 -2.778 0.000
2.526 2.778 0.000
0.000 0.000 7.315
Y Cd In
1 1 2
direct
0.000 0.000 0.000
0.000 0.000 0.500
0.500 0.500 0.270
0.500 0.500 0.730

***

No. 3
YCd6In | Alexandria | PBE | optimized geometry; DFT total energy = -15.9 eV/cell; calculated volume = 189.26 Å³/f.u.; mass density = 7.7 g/cm³
1.0
4.800 0.000 0.000
0.000 3.869 5.096
0.000 -3.869 5.096
Y Cd In
1 6 1
direct
0.000 0.000 0.000
0.000 0.423 0.423
0.000 0.512 0.909
0.000 0.909 0.512
0.500 0.299 0.717
0.500 0.717 0.299
0.500 0.799 0.799
0.500 0.225 0.225

***

No. 4
YCdIn3 | Alexandria | PBE | optimized geometry; distance to the lowest polymorph of the same formula = 46 meV/atom; DFT total energy = -31.3 eV/cell; calculated volume = 136.32 Å³/f.u.; mass density = 6.6 g/cm³
1.0
7.223 0.000 0.000
-3.612 6.255 0.000
0.000 0.000 6.031
Y Cd In
2 2 6
direct
0.333 0.667 0.250
0.667 0.333 0.750
0.000 0.000 0.000
0.000 0.000 0.500
0.198 0.397 0.750
0.198 0.802 0.750
0.397 0.198 0.250
0.603 0.802 0.750
0.802 0.198 0.250
0.802 0.603 0.250

***

No. 5
Y2CdIn2 | Alexandria | PBE | optimized geometry; distance to the lowest polymorph of the same formula = 533 meV/atom; DFT total energy = -18.8 eV/cell; calculated volume = 154.73 Å³/f.u.; mass density = 5.6 g/cm³
1.0
-2.402 2.402 6.702
2.402 -2.402 6.702
2.402 2.402 -6.702
Y Cd In
2 1 2
direct
0.250 0.750 0.500
0.750 0.250 0.500
0.000 0.000 0.000
0.400 0.400 0.000
0.600 0.600 0.000

***

No. 6
Y2CdIn2 | Alexandria | PBE | optimized geometry; distance to the lowest polymorph of the same formula = 0 meV/atom; DFT total energy = -42.9 eV/cell; calculated volume = 133.29 Å³/f.u.; mass density = 6.5 g/cm³
1.0
7.503 0.000 0.000
0.000 7.503 0.000
0.000 0.000 4.735
Y Cd In
4 2 4
direct
0.168 0.332 0.000
0.332 0.832 0.000
0.668 0.168 0.000
0.832 0.668 0.000
0.000 0.000 0.500
0.500 0.500 0.500
0.136 0.636 0.500
0.364 0.136 0.500
0.636 0.864 0.500
0.864 0.364 0.500

***

No. 7
YCdIn2 | Alexandria | PBE | optimized geometry; DFT total energy = -13.9 eV/cell; calculated volume = 103.16 Å³/f.u.; mass density = 6.9 g/cm³
1.0
3.384 0.000 0.000
0.000 4.854 0.000
-0.017 0.000 6.280
Y Cd In
1 1 2
direct
0.000 0.000 0.000
0.500 0.000 0.500
0.498 0.500 0.759
0.502 0.500 0.241

***

No. 8
YCdIn3 | Alexandria | PBE | optimized geometry; distance to the lowest polymorph of the same formula = 0 meV/atom; DFT total energy = -31.8 eV/cell; calculated volume = 148.63 Å³/f.u.; mass density = 6.1 g/cm³
1.0
4.705 -5.565 0.000
4.705 5.565 0.000
0.000 0.000 5.677
Y Cd In
2 2 6
direct
0.235 0.765 0.750
0.765 0.235 0.250
0.053 0.947 0.250
0.947 0.053 0.750
0.128 0.528 0.250
0.472 0.872 0.250
0.500 0.500 0.000
0.500 0.500 0.500
0.528 0.128 0.750
0.872 0.472 0.750